First-principles (GGA+U) data for an optimized crystal structure of CsMnP6O18, as listed in Alexandria via LeMat-Bulk.

Computed properties:
space group	P-1
uncorrected energy	-179.73	eV per cell
density of states at the Fermi level	5.2	states/eV per cell
mass density	2.6	Mg/m³
total moment	5.7	μB per cell

Unit cell a=5.220 b=8.546 c=9.946 alpha=90.35 beta=100.62 gamma=104.95
Atoms (fractional coordinates):
Cs1 0.000 0.000 0.000
Mn1 0.000 0.000 0.500
P1 0.349 0.568 0.772
P2 0.396 0.766 0.534
P3 0.448 0.233 0.737
P4 0.552 0.767 0.263
P5 0.604 0.234 0.466
P6 0.651 0.432 0.228
O1 0.098 0.604 0.803
O2 0.127 0.803 0.531
O3 0.205 0.091 0.679
O4 0.317 0.379 0.768
O5 0.348 0.106 0.411
O6 0.368 0.797 0.141
O7 0.382 0.602 0.615
O8 0.397 0.694 0.385
O9 0.410 0.334 0.127
O10 0.590 0.666 0.873
O11 0.603 0.306 0.615
O12 0.618 0.398 0.385
O13 0.632 0.203 0.859
O14 0.652 0.894 0.589
O15 0.683 0.621 0.232
O16 0.795 0.909 0.321
O17 0.873 0.197 0.469
O18 0.902 0.396 0.197